A plane-wave DFT calculation with GGA+U was carried out for a geometry-optimized BiWC2O structure.

Geometry as CIF:
```
data_BiWC2O
_chemical_formula_sum 'Bi1 W1 C2 O1'
_cell_length_a 4.5171
_cell_length_b 4.5171
_cell_length_c 3.7883
_cell_angle_alpha 90.00
_cell_angle_beta 90.00
_cell_angle_gamma 90.00
_symmetry_space_group_name_H-M 'P 4/m m m'
_symmetry_Int_Tables_number 123
_symmetry_space_group_name_Hall '-P 4 2'
loop_
_atom_site_label
_atom_site_fract_x
_atom_site_fract_y
_atom_site_fract_z
Bi1 0.0000 0.0000 0.0000
W1 0.5000 0.5000 0.0000
C1 0.0000 0.5000 0.5000
O1 0.5000 0.5000 0.5000
```

Values from the calculation:
The density comes out at 9.30 g/cm3. The value obtained for the final energy is -4.837 eV per atom.